VASP calculation (PBE-GGA) on an optimized crystal structure of GdSbN2O.

Cell and atoms, written as extended XYZ:
```
10
Lattice="3.6361 0.0000 0.0000 0.0000 6.3814 0.0000 0.0000 0.0000 5.9061" Properties=species:S:1:pos:R:3 pbc="T T T"
Gd 0.0000 0.9833 0.0000
Gd 0.0000 5.3981 2.9531
Sb 1.8180 2.0802 3.1721
Sb 1.8180 4.3012 0.2190
N 0.0000 1.2769 3.5384
N 0.0000 5.1045 0.5853
N 1.8180 2.5141 5.2626
N 1.8180 3.8673 2.3095
O 1.8180 0.6685 1.6112
O 1.8180 5.7130 4.5643
```

crystal system = orthorhombic
spin magnetization = 0.00 μB per cell
uncorrected energy = -7.05 eV/atom

=====

VASP calculation (PBE-GGA) on an optimized crystal structure of Zr3FeB2.

Cell and atoms, written as extended XYZ:
```
12
Lattice="3.4043 0.0000 0.0000 -1.7021 2.9482 0.0000 0.0000 0.0000 19.0948" Properties=species:S:1:pos:R:3 pbc="T T T"
Zr 0.0000 0.0000 0.0000
Zr 0.0000 0.0000 9.5474
Zr 0.0000 1.9655 2.8424
Zr 0.0000 1.9655 6.7050
Zr 1.7021 0.9827 12.3898
Zr 1.7021 0.9827 16.2524
Fe 0.0000 0.0000 4.7737
Fe 0.0000 0.0000 14.3211
B 0.0000 1.9655 11.0128
B 0.0000 1.9655 17.6293
B 1.7021 0.9827 1.4654
B 1.7021 0.9827 8.0819
```

crystal system = hexagonal
spin magnetization = 2.85 μB per cell
uncorrected energy = -8.04 eV/atom

=====

VASP calculation (PBE-GGA) on an optimized crystal structure of TePOsO.

Cell and atoms, written as extended XYZ:
```
8
Lattice="4.0911 0.0000 0.0000 0.0000 4.0911 0.0000 0.0000 0.0000 7.4418" Properties=species:S:1:pos:R:3 pbc="T T T"
Te 1.0228 1.0228 1.1670
Te 3.0684 3.0684 6.2749
P 1.0228 1.0228 4.8999
P 3.0684 3.0684 2.5419
Os 1.0228 3.0684 3.7209
Os 3.0684 1.0228 3.7209
O 1.0228 3.0684 0.0000
O 3.0684 1.0228 0.0000
```

crystal system = tetragonal
spin magnetization = 0.00 μB per cell
distance to the lowest polymorph of the same formula = 20.4 kJ per mole of atoms
uncorrected energy = -6.18 eV/atom

=====

VASP calculation (PBE-GGA) on an optimized crystal structure of ErTcPt.

Cell and atoms, written as extended XYZ:
```
12
Lattice="6.3808 0.0000 0.0000 0.0000 6.3808 0.0000 0.0000 0.0000 6.3808" Properties=species:S:1:pos:R:3 pbc="T T T"
Er 0.0000 0.0000 0.0000
Er 0.0000 3.1904 3.1904
Er 3.1904 0.0000 3.1904
Er 3.1904 3.1904 0.0000
Tc 1.5952 1.5952 1.5952
Tc 1.5952 4.7856 4.7856
Tc 4.7856 1.5952 4.7856
Tc 4.7856 4.7856 1.5952
Pt 1.5952 1.5952 4.7856
Pt 1.5952 4.7856 1.5952
Pt 4.7856 1.5952 1.5952
Pt 4.7856 4.7856 4.7856
```

formation enthalpy at 0 K = 0.5200 eV per atom
crystal system = cubic
spin magnetization = 9.34 μB per cell
distance to the lowest polymorph of the same formula = 50.4 kJ per mole of atoms
uncorrected energy = -6.47 eV/atom

=====

VASP calculation (PBE-GGA) on an optimized crystal structure of Bi12Au7.

Cell and atoms, written as extended XYZ:
```
19
Lattice="6.4989 3.7522 3.9564 -6.4989 3.7522 3.9564 0.0000 -7.5043 3.9564" Properties=species:S:1:pos:R:3 pbc="T T T"
Bi -5.6370 1.1774 5.0703
Bi -3.8381 -4.2931 6.7989
Bi -1.7301 -2.0750 4.8175
Bi 1.7989 -5.4705 5.0703
Bi -2.6620 0.4608 7.0518
Bi -0.9320 2.5358 4.8175
Bi 0.9320 -2.5358 7.0518
Bi 2.6620 -0.4608 4.8175
Bi -1.7989 5.4705 6.7989
Bi 1.7301 2.0750 7.0518
Bi 3.8381 4.2931 5.0703
Bi 5.6370 -1.1774 6.7989
Au 0.0000 0.0000 0.0000
Au -2.9351 0.5178 4.0571
Au 1.0191 -2.8007 4.0571
Au -1.9159 -2.2829 7.8122
Au 1.9159 2.2829 4.0571
Au -1.0191 2.8007 7.8122
Au 2.9350 -0.5178 7.8122
```

crystal system = trigonal
uncorrected energy = -3.77 eV/atom

=====

VASP calculation (PBE-GGA) on an optimized crystal structure of Cu2HgGeTe2S2.

Cell and atoms, written as extended XYZ:
```
8
Lattice="0.0000 4.1940 5.6540 4.1935 0.0000 5.6540 4.1935 4.1940 0.0000" Properties=species:S:1:pos:R:3 pbc="T T T"
Cu 2.0967 2.0970 0.0000
Cu 2.0967 2.0970 5.6540
Hg 4.1935 4.1940 2.5154
Ge 4.1935 4.1940 8.0454
Te 4.1935 1.9418 4.1555
Te 4.1935 6.4463 4.1555
S 6.0717 4.1940 6.6874
S 2.3153 4.1940 6.6874
```

crystal system = orthorhombic
uncorrected energy = -3.52 eV/atom

=====

VASP calculation (PBE-GGA) on an optimized crystal structure of DyGaCo.

Cell and atoms, written as extended XYZ:
```
12
Lattice="7.0455 0.0000 0.0000 0.0000 4.4185 0.0000 0.0000 0.0000 6.8326" Properties=species:S:1:pos:R:3 pbc="T T T"
Dy 0.1762 1.1046 1.3335
Dy 3.3466 3.3139 4.7498
Dy 3.6990 1.1046 2.0828
Dy 6.8693 3.3139 5.4991
Ga 1.3764 1.1046 4.1509
Ga 2.1463 3.3139 0.7346
Ga 4.8992 1.1046 6.0980
Ga 5.6691 3.3139 2.6817
Co 1.0713 3.3139 2.9841
Co 2.4514 1.1046 6.4004
Co 4.5941 3.3139 0.4322
Co 5.9742 1.1046 3.8485
```

crystal system = orthorhombic
spin magnetization = 0.01 μB per cell
uncorrected energy = -5.41 eV/atom

=====

VASP calculation (PBE-GGA) on an optimized crystal structure of Ho4Bi3Te.

Cell and atoms, written as extended XYZ:
```
16
Lattice="8.8390 0.0000 0.0000 0.0000 12.5004 0.0000 0.0000 0.0000 4.4264" Properties=species:S:1:pos:R:3 pbc="T T T"
Ho 0.0000 3.1129 0.0000
Ho 0.0000 9.3875 0.0000
Ho 2.1883 0.0000 2.2132
Ho 2.2312 6.2502 2.2132
Ho 4.4195 3.1373 0.0000
Ho 4.4195 9.3631 0.0000
Ho 6.6077 6.2502 2.2132
Ho 6.6507 0.0000 2.2132
Bi 0.0000 0.0000 0.0000
Bi 2.2097 3.1251 2.2132
Bi 2.2097 9.3753 2.2132
Bi 4.4195 6.2502 0.0000
Bi 6.6292 3.1251 2.2132
Bi 6.6292 9.3753 2.2132
Te 0.0000 6.2502 0.0000
Te 4.4195 0.0000 0.0000
```

crystal system = orthorhombic
spin magnetization = 0.02 μB per cell
uncorrected energy = -5.17 eV/atom